No. 1
This record from Alexandria via LeMat-Bulk describes an optimized crystal structure of RbAlCdGe. The functional is PBE-GGA.

Summary:
The calculation puts the energy of formation from the pure elements at -0.108 eV per atom. For the total energy, the calculation gives -2.6685 eV per atom. The calculation puts the calculated volume at 30.9 Å³/atom.

Lattice parameters (Å, degrees): 4.1435 4.1435 14.3970 90.00 90.00 90.00
Space group P4/nmm (No. 129, origin choice 2)
Asymmetric unit:
Rb: 0.2500 0.2500 0.2487 [2 per cell]
Al: 0.2500 0.7500 0.0000 [2 per cell]
Cd: 0.2500 0.7500 0.5000 [2 per cell]
Ge: 0.2500 0.2500 0.8867 [2 per cell]

***

No. 2
This record from Alexandria via LeMat-Bulk describes an optimized crystal structure of AlCdRe2Ge. The functional is PBE-GGA.

Summary:
The calculation puts the energy of formation from the pure elements at 1.399 eV per atom. For the total energy, the calculation gives -5.4352 eV per atom. The calculation puts the calculated volume at 19.6 Å³/atom.

Lattice parameters (Å, degrees): 4.6396 4.6396 4.5602 90.00 90.00 90.00
Space group P4/mmm (No. 123)
Asymmetric unit:
Al: 0.0000 0.0000 0.0000 [1 per cell]
Cd: 0.5000 0.5000 0.0000 [1 per cell]
Re: 0.0000 0.5000 0.5000 [2 per cell]
Ge: 0.0000 0.0000 0.5000 [1 per cell]

***

No. 3
This record from Alexandria via LeMat-Bulk describes an optimized crystal structure of SrAlCdGe2. The functional is PBE-GGA.

Summary:
The calculation puts the energy of formation from the pure elements at 1.111 eV per atom. For the total energy, the calculation gives -2.0039 eV per atom. The calculation puts the calculated volume at 39.2 Å³/atom.

Lattice parameters (Å, degrees): 5.7061 5.7061 6.0226 90.00 90.00 90.00
Space group P4/mmm (No. 123)
Asymmetric unit:
Sr: 0.0000 0.0000 0.0000 [1 per cell]
Al: 0.5000 0.5000 0.5000 [1 per cell]
Cd: 0.0000 0.0000 0.5000 [1 per cell]
Ge: 0.0000 0.5000 0.0000 [2 per cell]

***

No. 4
This record from Alexandria via LeMat-Bulk describes an optimized crystal structure of Sr2AlCd3Ge4. The functional is PBE-GGA.

Summary:
The calculation puts the energy of formation from the pure elements at -0.265 eV per atom. For the total energy, the calculation gives -3.0975 eV per atom. The calculation puts the calculated volume at 24.2 Å³/atom.

Lattice parameters (Å, degrees): 4.6424 4.6424 11.2341 90.00 90.00 90.00
Space group P-4m2 (No. 115)
Asymmetric unit:
Sr: 0.0000 0.5000 0.2479 [2 per cell]
Al: 0.0000 0.0000 0.5000 [1 per cell]
Cd: 0.0000 0.5000 0.8647 [2 per cell]
Cd: 0.5000 0.5000 0.5000 [1 per cell]
Ge: 0.0000 0.0000 0.0000 [1 per cell]
Ge: 0.0000 0.5000 0.6287 [2 per cell]
Ge: 0.5000 0.5000 0.0000 [1 per cell]

***

No. 5
This record from Alexandria via LeMat-Bulk describes an optimized crystal structure of YAlCdGe2. The functional is PBE-GGA.

Summary:
The calculation puts the energy of formation from the pure elements at 0.286 eV per atom. For the total energy, the calculation gives -3.7854 eV per atom. The calculation puts the calculated volume at 25.8 Å³/atom.

Lattice parameters (Å, degrees): 4.8206 4.8206 5.5602 90.00 90.00 90.00
Space group P4/mmm (No. 123)
Asymmetric unit:
Y: 0.0000 0.0000 0.0000 [1 per cell]
Al: 0.0000 0.0000 0.5000 [1 per cell]
Cd: 0.5000 0.5000 0.0000 [1 per cell]
Ge: 0.0000 0.5000 0.5000 [2 per cell]

***

No. 6
This record from Alexandria via LeMat-Bulk describes an optimized crystal structure of AlCdH3. The functional is PBE-GGA.

Summary:
For the total energy, the calculation gives -2.3717 eV per atom. The calculation puts the calculated volume at 12.8 Å³/atom. The excess energy over the best structure of this formula in the dataset is 260 meV/atom.

Lattice parameters (Å, degrees): 4.0035 4.0035 4.0035 90.00 90.00 90.00
Space group Pm-3m (No. 221)
Asymmetric unit:
Al: 0.0000 0.0000 0.0000 [1 per cell]
Cd: 0.5000 0.5000 0.5000 [1 per cell]
H: 0.0000 0.5000 0.5000 [3 per cell]

***

No. 7
This record from Alexandria via LeMat-Bulk describes an optimized crystal structure of Al3CdH. The functional is PBE-GGA.

Summary:
For the total energy, the calculation gives -1.9596 eV per atom. The calculation puts the calculated volume at 26.8 Å³/atom. The excess energy over the best structure of this formula in the dataset is 908 meV/atom.

Lattice parameters (Å, degrees): 5.1176 5.1176 5.1176 90.00 90.00 90.00
Space group Pm-3m (No. 221)
Asymmetric unit:
Al: 0.0000 0.0000 0.5000 [3 per cell]
Cd: 0.0000 0.0000 0.0000 [1 per cell]
H: 0.5000 0.5000 0.5000 [1 per cell]

***

No. 8
This record from Alexandria via LeMat-Bulk describes an optimized crystal structure of AlCd3H. The functional is PBE-GGA.

Summary:
For the total energy, the calculation gives -1.5955 eV per atom. The calculation puts the calculated volume at 18.6 Å³/atom. The excess energy over the best structure of this formula in the dataset is 0 meV/atom.

Lattice parameters (Å, degrees): 4.5275 4.5275 4.5275 90.00 90.00 90.00
Space group Pm-3m (No. 221)
Asymmetric unit:
Al: 0.0000 0.0000 0.0000 [1 per cell]
Cd: 0.0000 0.5000 0.5000 [3 per cell]
H: 0.5000 0.5000 0.5000 [1 per cell]

***

No. 9
This record from Alexandria via LeMat-Bulk describes an optimized crystal structure of AlCd2H2. The functional is PBE-GGA.

Summary:
For the total energy, the calculation gives -2.2473 eV per atom. The calculation puts the calculated volume at 15.5 Å³/atom. The excess energy over the best structure of this formula in the dataset is 0 meV/atom.

Lattice parameters (Å, degrees): 4.8634 4.8634 6.5399 90.00 90.00 90.00
Space group I4/mmm (No. 139)
Asymmetric unit:
Al: 0.0000 0.0000 0.0000 [2 per cell]
Cd: 0.0000 0.5000 0.2500 [4 per cell]
H: 0.0000 0.0000 0.4413 [4 per cell]

***

No. 10
This record from Alexandria via LeMat-Bulk describes an optimized crystal structure of AlCdH3. The functional is PBE-GGA.

Summary:
For the total energy, the calculation gives -2.6315 eV per atom. The calculation puts the calculated volume at 10.8 Å³/atom. The excess energy over the best structure of this formula in the dataset is 0 meV/atom.

Lattice parameters (Å, degrees): 3.7817 3.7817 3.7817 90.00 90.00 90.00
Space group Pm-3m (No. 221)
Asymmetric unit:
Al: 0.0000 0.0000 0.0000 [1 per cell]
Cd: 0.5000 0.5000 0.5000 [1 per cell]
H: 0.0000 0.0000 0.5000 [3 per cell]

***

No. 11
This record from Alexandria via LeMat-Bulk describes an optimized crystal structure of AlCd2H. The functional is PBE-GGA.

Summary:
For the total energy, the calculation gives -1.6987 eV per atom. The calculation puts the calculated volume at 18.1 Å³/atom. The excess energy over the best structure of this formula in the dataset is 105 meV/atom.

Lattice parameters (Å, degrees): 6.6146 6.6146 6.6146 90.00 90.00 90.00
Space group Fm-3m (No. 225)
Asymmetric unit:
Al: 0.0000 0.0000 0.0000 [4 per cell]
Cd: 0.2500 0.2500 0.2500 [8 per cell]
H: 0.0000 0.0000 0.5000 [4 per cell]

***

No. 12
This record from Alexandria via LeMat-Bulk describes an optimized crystal structure of AlCd3H. The functional is PBE-GGA.

Summary:
For the total energy, the calculation gives -1.3140 eV per atom. The calculation puts the calculated volume at 28.5 Å³/atom. The excess energy over the best structure of this formula in the dataset is 282 meV/atom.

Lattice parameters (Å, degrees): 5.2239 5.2239 5.2239 90.00 90.00 90.00
Space group Pm-3m (No. 221)
Asymmetric unit:
Al: 0.0000 0.0000 0.0000 [1 per cell]
Cd: 0.0000 0.0000 0.5000 [3 per cell]
H: 0.5000 0.5000 0.5000 [1 per cell]

***

Q: The lowest calculated volume belongs to which entry?
A: number 10